#i
KSn4I8: relaxed, PBE-GGA.

Values from the calculation:
Magnetization   0.000 μB per formula unit

```
data_KSn4I8
_chemical_formula_sum 'K1 Sn4 I8'
_cell_length_a 9.743
_cell_length_b 9.743
_cell_length_c 9.743
_cell_angle_alpha 60.00
_cell_angle_beta 60.00
_cell_angle_gamma 60.00
_space_group_name_H-M_alt 'P 1'
_space_group_IT_number 1
loop_
_space_group_symop_operation_xyz
'x,y,z'
loop_
_atom_site_label
_atom_site_type_symbol
_atom_site_fract_x
_atom_site_fract_y
_atom_site_fract_z
_atom_site_occupancy
K1 K 0.000 0.000 0.000 1
Sn1 Sn 0.379 0.379 0.379 1
Sn2 Sn 0.379 0.379 0.863 1
Sn3 Sn 0.379 0.863 0.379 1
Sn4 Sn 0.863 0.379 0.379 1
I1 I 0.141 0.141 0.141 1
I2 I 0.141 0.141 0.576 1
I3 I 0.141 0.576 0.141 1
I4 I 0.160 0.613 0.613 1
I5 I 0.576 0.141 0.141 1
I6 I 0.613 0.160 0.613 1
I7 I 0.613 0.613 0.160 1
I8 I 0.613 0.613 0.613 1
```

---

#ii
KSn4I8: relaxed, PBE-GGA.

Values from the calculation:
Magnetization   0.000 μB per formula unit

```
data_KSn4I8
_chemical_formula_sum 'K1 Sn4 I8'
_cell_length_a 9.489
_cell_length_b 9.554
_cell_length_c 9.766
_cell_angle_alpha 61.10
_cell_angle_beta 61.06
_cell_angle_gamma 60.43
_space_group_name_H-M_alt 'P 1'
_space_group_IT_number 1
loop_
_space_group_symop_operation_xyz
'x,y,z'
loop_
_atom_site_label
_atom_site_type_symbol
_atom_site_fract_x
_atom_site_fract_y
_atom_site_fract_z
_atom_site_occupancy
K1 K 0.000 0.000 0.000 1
Sn1 Sn 0.000 0.000 0.500 1
Sn2 Sn 0.000 0.500 0.500 1
Sn3 Sn 0.500 0.000 0.500 1
Sn4 Sn 0.500 0.500 0.500 1
I1 I 0.237 0.237 0.289 1
I2 I 0.240 0.737 0.285 1
I3 I 0.262 0.761 0.715 1
I4 I 0.263 0.263 0.715 1
I5 I 0.737 0.737 0.285 1
I6 I 0.738 0.239 0.285 1
I7 I 0.760 0.263 0.715 1
I8 I 0.763 0.763 0.711 1
```

---

Going by the energies, #ii is most stable and the next is 15 meV/atom up.

---

#i
K2SnI4: relaxed, PBE-GGA.

Values from the calculation:
Magnetization   0.000 μB per formula unit

```
data_K2SnI4
_chemical_formula_sum 'K4 Sn2 I8'
_cell_length_a 6.211
_cell_length_b 6.211
_cell_length_c 18.050
_cell_angle_alpha 90.00
_cell_angle_beta 90.00
_cell_angle_gamma 90.00
_space_group_name_H-M_alt 'P 1'
_space_group_IT_number 1
loop_
_space_group_symop_operation_xyz
'x,y,z'
loop_
_atom_site_label
_atom_site_type_symbol
_atom_site_fract_x
_atom_site_fract_y
_atom_site_fract_z
_atom_site_occupancy
K1 K 0.000 0.000 0.135 1
K2 K 0.000 0.000 0.865 1
K3 K 0.500 0.500 0.365 1
K4 K 0.500 0.500 0.635 1
Sn1 Sn 0.000 0.000 0.500 1
Sn2 Sn 0.500 0.500 0.000 1
I1 I 0.000 0.000 0.326 1
I2 I 0.000 0.000 0.674 1
I3 I 0.000 0.500 0.000 1
I4 I 0.000 0.500 0.500 1
I5 I 0.500 0.000 0.000 1
I6 I 0.500 0.000 0.500 1
I7 I 0.500 0.500 0.174 1
I8 I 0.500 0.500 0.826 1
```

---

#ii
K2SnI4: relaxed, PBE-GGA.

Values from the calculation:
Magnetization   0.000 μB per formula unit

```
data_K2SnI4
_chemical_formula_sum 'K4 Sn2 I8'
_cell_length_a 10.374
_cell_length_b 14.160
_cell_length_c 4.785
_cell_angle_alpha 90.00
_cell_angle_beta 90.00
_cell_angle_gamma 90.00
_space_group_name_H-M_alt 'P 1'
_space_group_IT_number 1
loop_
_space_group_symop_operation_xyz
'x,y,z'
loop_
_atom_site_label
_atom_site_type_symbol
_atom_site_fract_x
_atom_site_fract_y
_atom_site_fract_z
_atom_site_occupancy
K1 K 0.250 0.250 0.000 1
K2 K 0.250 0.750 0.000 1
K3 K 0.750 0.250 0.000 1
K4 K 0.750 0.750 0.000 1
Sn1 Sn 0.000 0.000 0.500 1
Sn2 Sn 0.500 0.500 0.500 1
I1 I 0.000 0.228 0.500 1
I2 I 0.000 0.772 0.500 1
I3 I 0.212 0.000 0.000 1
I4 I 0.288 0.500 0.000 1
I5 I 0.500 0.272 0.500 1
I6 I 0.500 0.728 0.500 1
I7 I 0.712 0.500 0.000 1
I8 I 0.788 0.000 0.000 1
```

---

Going by the energies, #ii is most stable and the next is 68 meV/atom up.

---

#i
KSn2I2: relaxed, PBE-GGA.

Values from the calculation:
Magnetization   0.000 μB per formula unit

```
data_KSn2I2
_chemical_formula_sum 'K2 Sn4 I4'
_cell_length_a 6.516
_cell_length_b 6.516
_cell_length_c 9.733
_cell_angle_alpha 90.00
_cell_angle_beta 90.00
_cell_angle_gamma 90.00
_space_group_name_H-M_alt 'P 1'
_space_group_IT_number 1
loop_
_space_group_symop_operation_xyz
'x,y,z'
loop_
_atom_site_label
_atom_site_type_symbol
_atom_site_fract_x
_atom_site_fract_y
_atom_site_fract_z
_atom_site_occupancy
K1 K 0.000 0.000 0.000 1
K2 K 0.500 0.500 0.500 1
Sn1 Sn 0.000 0.000 0.349 1
Sn2 Sn 0.000 0.000 0.651 1
Sn3 Sn 0.500 0.500 0.151 1
Sn4 Sn 0.500 0.500 0.849 1
I1 I 0.000 0.500 0.250 1
I2 I 0.000 0.500 0.750 1
I3 I 0.500 0.000 0.250 1
I4 I 0.500 0.000 0.750 1
```

---

#ii
KSn2I2: relaxed, PBE-GGA.

Values from the calculation:
Magnetization   0.000 μB per formula unit

```
data_KSn2I2
_chemical_formula_sum 'K2 Sn4 I4'
_cell_length_a 9.190
_cell_length_b 9.190
_cell_length_c 4.921
_cell_angle_alpha 90.00
_cell_angle_beta 90.00
_cell_angle_gamma 90.00
_space_group_name_H-M_alt 'P 1'
_space_group_IT_number 1
loop_
_space_group_symop_operation_xyz
'x,y,z'
loop_
_atom_site_label
_atom_site_type_symbol
_atom_site_fract_x
_atom_site_fract_y
_atom_site_fract_z
_atom_site_occupancy
K1 K 0.000 0.000 0.000 1
K2 K 0.500 0.500 0.000 1
Sn1 Sn 0.108 0.392 0.000 1
Sn2 Sn 0.392 0.892 0.000 1
Sn3 Sn 0.608 0.108 0.000 1
Sn4 Sn 0.892 0.608 0.000 1
I1 I 0.156 0.656 0.500 1
I2 I 0.344 0.156 0.500 1
I3 I 0.656 0.844 0.500 1
I4 I 0.844 0.344 0.500 1
```

---

Going by the energies, #i is most stable and the next is 105 meV/atom up.

---

#i
K2Sn2I7: relaxed, PBE-GGA.

Values from the calculation:
Magnetization   0.000 μB per formula unit

```
data_K2Sn2I7
_chemical_formula_sum 'K2 Sn2 I7'
_cell_length_a 9.499
_cell_length_b 9.499
_cell_length_c 7.557
_cell_angle_alpha 100.60
_cell_angle_beta 100.60
_cell_angle_gamma 98.50
_space_group_name_H-M_alt 'P 1'
_space_group_IT_number 1
loop_
_space_group_symop_operation_xyz
'x,y,z'
loop_
_atom_site_label
_atom_site_type_symbol
_atom_site_fract_x
_atom_site_fract_y
_atom_site_fract_z
_atom_site_occupancy
K1 K 0.204 0.796 0.000 1
K2 K 0.796 0.204 0.000 1
Sn1 Sn 0.278 0.278 0.598 1
Sn2 Sn 0.722 0.722 0.402 1
I1 I 0.085 0.085 0.272 1
I2 I 0.087 0.411 0.814 1
I3 I 0.411 0.087 0.814 1
I4 I 0.500 0.500 0.500 1
I5 I 0.589 0.913 0.186 1
I6 I 0.913 0.589 0.186 1
I7 I 0.915 0.915 0.728 1
```

---

#ii
K2Sn2I7: relaxed, PBE-GGA.

Values from the calculation:
Magnetization   0.000 μB per formula unit

```
data_K2Sn2I7
_chemical_formula_sum 'K2 Sn2 I7'
_cell_length_a 9.067
_cell_length_b 9.067
_cell_length_c 8.950
_cell_angle_alpha 93.92
_cell_angle_beta 93.92
_cell_angle_gamma 113.65
_space_group_name_H-M_alt 'P 1'
_space_group_IT_number 1
loop_
_space_group_symop_operation_xyz
'x,y,z'
loop_
_atom_site_label
_atom_site_type_symbol
_atom_site_fract_x
_atom_site_fract_y
_atom_site_fract_z
_atom_site_occupancy
K1 K 0.172 0.828 0.000 1
K2 K 0.828 0.172 0.000 1
Sn1 Sn 0.232 0.232 0.635 1
Sn2 Sn 0.768 0.768 0.365 1
I1 I 0.063 0.063 0.282 1
I2 I 0.142 0.447 0.829 1
I3 I 0.447 0.142 0.829 1
I4 I 0.500 0.500 0.500 1
I5 I 0.553 0.858 0.171 1
I6 I 0.858 0.553 0.171 1
I7 I 0.937 0.937 0.718 1
```

---

Going by the energies, #i is most stable and the next is 9 meV/atom up.

---

#i
KSn3I: relaxed, PBE-GGA.

Values from the calculation:
Magnetization   0.000 μB per formula unit

```
data_KSn3I
_chemical_formula_sum 'K1 Sn3 I1'
_cell_length_a 6.002
_cell_length_b 6.002
_cell_length_c 6.002
_cell_angle_alpha 90.00
_cell_angle_beta 90.00
_cell_angle_gamma 90.00
_space_group_name_H-M_alt 'P 1'
_space_group_IT_number 1
loop_
_space_group_symop_operation_xyz
'x,y,z'
loop_
_atom_site_label
_atom_site_type_symbol
_atom_site_fract_x
_atom_site_fract_y
_atom_site_fract_z
_atom_site_occupancy
K1 K 0.000 0.000 0.000 1
Sn1 Sn 0.000 0.500 0.500 1
Sn2 Sn 0.500 0.000 0.500 1
Sn3 Sn 0.500 0.500 0.000 1
I1 I 0.500 0.500 0.500 1
```

---

#ii
KSn3I: relaxed, PBE-GGA.

Values from the calculation:
Magnetization   0.000 μB per formula unit

```
data_KSn3I
_chemical_formula_sum 'K1 Sn3 I1'
_cell_length_a 6.146
_cell_length_b 6.146
_cell_length_c 6.146
_cell_angle_alpha 90.00
_cell_angle_beta 90.00
_cell_angle_gamma 90.00
_space_group_name_H-M_alt 'P 1'
_space_group_IT_number 1
loop_
_space_group_symop_operation_xyz
'x,y,z'
loop_
_atom_site_label
_atom_site_type_symbol
_atom_site_fract_x
_atom_site_fract_y
_atom_site_fract_z
_atom_site_occupancy
K1 K 0.000 0.000 0.000 1
Sn1 Sn 0.000 0.000 0.500 1
Sn2 Sn 0.000 0.500 0.000 1
Sn3 Sn 0.500 0.000 0.000 1
I1 I 0.500 0.500 0.500 1
```

---

Going by the energies, #i is most stable and the next is 550 meV/atom up.

---

#i
KSnTe2I: relaxed, PBE-GGA.

Values from the calculation:
Magnetization   0.000 μB per formula unit

```
data_KSnTe2I
_chemical_formula_sum 'K1 Sn1 Te2 I1'
_cell_length_a 5.766
_cell_length_b 5.766
_cell_length_c 6.352
_cell_angle_alpha 90.00
_cell_angle_beta 90.00
_cell_angle_gamma 90.00
_space_group_name_H-M_alt 'P 1'
_space_group_IT_number 1
loop_
_space_group_symop_operation_xyz
'x,y,z'
loop_
_atom_site_label
_atom_site_type_symbol
_atom_site_fract_x
_atom_site_fract_y
_atom_site_fract_z
_atom_site_occupancy
K1 K 0.000 0.000 0.000 1
Sn1 Sn 0.500 0.500 0.500 1
Te1 Te 0.000 0.500 0.500 1
Te2 Te 0.500 0.000 0.500 1
I1 I 0.500 0.500 0.000 1
```

---

#ii
KSnTe2I: relaxed, PBE-GGA.

Values from the calculation:
Magnetization   0.000 μB per formula unit

```
data_KSnTe2I
_chemical_formula_sum 'K1 Sn1 Te2 I1'
_cell_length_a 6.011
_cell_length_b 6.011
_cell_length_c 6.128
_cell_angle_alpha 90.00
_cell_angle_beta 90.00
_cell_angle_gamma 90.00
_space_group_name_H-M_alt 'P 1'
_space_group_IT_number 1
loop_
_space_group_symop_operation_xyz
'x,y,z'
loop_
_atom_site_label
_atom_site_type_symbol
_atom_site_fract_x
_atom_site_fract_y
_atom_site_fract_z
_atom_site_occupancy
K1 K 0.000 0.000 0.000 1
Sn1 Sn 0.500 0.500 0.500 1
Te1 Te 0.000 0.500 0.000 1
Te2 Te 0.500 0.000 0.000 1
I1 I 0.000 0.000 0.500 1
```

---

Going by the energies, #i is most stable and the next is 865 meV/atom up.